1.
La2Sm3HoAs6 (PBE, optimized geometry); Fermi-level density of states = 1.60 states/eV/f.u.; E_tot = -6.238 eV per atom; ΔE_f = -35.3 kcal/mol of atoms
1.0
4.2539 0.0000 0.0000
0.0000 8.5005 0.3001
-2.1269 -2.4517 8.9339
La Sm Ho As
2 3 1 6
Direct
0.8349 0.6691 0.6699 La
0.1651 0.3309 0.3301 La
0.5000 0.5000 0.0000 Sm
0.8330 0.1655 0.6660 Sm
0.1670 0.8345 0.3340 Sm
0.5000 0.0000 0.0000 Ho
0.3356 0.9233 0.6712 As
0.6650 0.5877 0.3300 As
0.6644 0.0767 0.3288 As
0.9976 0.2437 0.9953 As
0.0024 0.7563 0.0047 As
0.3350 0.4123 0.6700 As

2.
La3Sm2HoAs6 (PBE, optimized geometry); Fermi-level density of states = 1.23 states/eV/f.u.; E_tot = -6.268 eV per atom; ΔE_f = -35.6 kcal/mol of atoms
1.0
7.4088 -0.0009 0.0008
-3.7034 6.4168 0.0008
-1.2355 -2.1393 6.9827
La Sm Ho As
3 2 1 6
Direct
0.1674 0.8326 0.5000 La
0.8326 0.1674 0.5000 La
0.5000 0.5000 0.5000 La
0.3337 0.6663 0.0000 Sm
0.6663 0.3337 0.0000 Sm
0.0000 0.0000 0.0000 Ho
0.9201 0.5905 0.7602 As
0.7508 0.7508 0.2407 As
0.0799 0.4095 0.2398 As
0.5905 0.9201 0.7602 As
0.2492 0.2492 0.7593 As
0.4095 0.0799 0.2398 As

3.
LaSm2HoAs4 (PBE, optimized geometry); Fermi-level density of states = 0.75 states/eV/f.u.; E_tot = -6.218 eV per atom; ΔE_f = -35.2 kcal/mol of atoms
1.0
-0.0151 -3.3398 -2.5986
-4.0349 -3.7422 4.8328
-7.1022 1.1074 -1.3821
La Sm Ho As
1 2 1 4
Direct
0.5000 0.5000 0.0000 La
0.0000 0.0000 0.0000 Sm
0.5000 0.0000 0.5000 Sm
0.0000 0.5000 0.5000 Ho
0.0000 0.7527 0.7425 As
0.0000 0.2473 0.2575 As
0.5000 0.7479 0.2570 As
0.5000 0.2521 0.7430 As